PBE GeAu2, optimized geometry; M_tot = 0.00 μB per cell; DFT formation energy = 56 meV/atom
1.0
3.203 0.000 -0.720
-0.273 4.494 -1.215
0.112 -0.351 7.985
Au Ge
4 2
Direct
0.885 0.615 0.770 Au
0.115 0.385 0.230 Au
0.554 0.802 0.107 Au
0.446 0.198 0.893 Au
0.721 0.194 0.443 Ge
0.279 0.806 0.557 Ge



PBE GeAu2, optimized geometry; M_tot = 0.00 μB per cell; DFT formation energy = 217 meV/atom
1.0
-2.953 -1.028 4.593
2.036 -3.377 3.914
1.643 2.080 4.883
Ge Au
2 4
Direct
0.250 0.250 0.250 Ge
0.000 0.000 0.000 Ge
0.625 0.125 0.625 Au
0.125 0.625 0.625 Au
0.625 0.625 0.625 Au
0.625 0.625 0.125 Au



PBE GeAu, optimized geometry; M_tot = 0.00 μB per cell; DFT formation energy = 67 meV/atom
1.0
4.924 0.000 0.000
0.000 4.430 0.000
0.000 0.000 12.782
Au Ge
6 6
Direct
0.500 0.503 0.000 Au
0.000 0.497 0.500 Au
0.000 0.963 0.180 Au
0.500 0.037 0.680 Au
0.500 0.037 0.320 Au
0.000 0.963 0.820 Au
0.000 0.675 0.000 Ge
0.000 0.981 0.614 Ge
0.500 0.325 0.500 Ge
0.500 0.019 0.886 Ge
0.500 0.019 0.114 Ge
0.000 0.981 0.386 Ge



PBE GeAu3, optimized geometry; M_tot = 0.00 μB per cell; DFT formation energy = 58 meV/atom
1.0
4.884 0.000 0.000
0.000 2.974 0.000
0.000 0.000 5.057
Au Ge
3 1
Direct
0.000 0.500 0.499 Au
0.500 0.500 0.169 Au
0.000 0.000 0.997 Au
0.500 0.000 0.668 Ge



PBE Ge2Au3, optimized geometry; M_tot = 0.00 μB per cell; DFT formation energy = 48 meV/atom
1.0
6.632 -0.885 1.665
0.833 5.057 2.331
-0.548 -0.250 5.443
Au Ge
6 4
Direct
0.320 0.484 0.910 Au
0.259 0.947 0.030 Au
0.741 0.053 0.970 Au
0.819 0.891 0.519 Au
0.680 0.516 0.090 Au
0.181 0.109 0.481 Au
0.517 0.235 0.577 Ge
0.483 0.765 0.423 Ge
0.995 0.399 0.764 Ge
0.005 0.601 0.236 Ge



PBE GeAu, optimized geometry; M_tot = 0.00 μB per cell; DFT formation energy = 138 meV/atom
1.0
3.356 0.000 0.000
0.000 3.356 0.000
0.000 0.000 3.356
Au Ge
1 1
Direct
0.000 0.000 0.000 Au
0.500 0.500 0.500 Ge



PBE GeAu3, optimized geometry; M_tot = 0.00 μB per cell; DFT formation energy = 67 meV/atom
1.0
-0.907 2.717 0.995
-0.576 -1.898 4.655
5.253 0.722 -1.806
Ge Au
1 3
Direct
0.000 0.989 0.000 Ge
0.258 0.607 0.515 Au
0.742 0.092 0.485 Au
0.500 0.479 0.000 Au



PBE GeAu7, optimized geometry; M_tot = 0.00 μB per cell; DFT formation energy = 58 meV/atom
1.0
-0.853 5.681 1.373
-2.508 1.450 5.147
3.230 2.528 4.250
Au Ge
7 1
Direct
0.000 0.500 0.500 Au
0.000 0.000 0.500 Au
0.000 0.500 0.000 Au
0.500 0.000 0.500 Au
0.500 0.500 0.500 Au
0.500 0.000 0.000 Au
0.500 0.500 0.000 Au
0.000 0.000 0.000 Ge



Please write out number 8 again, unchanged.
PBE GeAu7, optimized geometry; M_tot = 0.00 μB per cell; DFT formation energy = 58 meV/atom
1.0
-0.853 5.681 1.373
-2.508 1.450 5.147
3.230 2.528 4.250
Au Ge
7 1
Direct
0.000 0.500 0.500 Au
0.000 0.000 0.500 Au
0.000 0.500 0.000 Au
0.500 0.000 0.500 Au
0.500 0.500 0.500 Au
0.500 0.000 0.000 Au
0.500 0.500 0.000 Au
0.000 0.000 0.000 Ge